(1)
This record from Alexandria describes a geometry-optimized CaTaSb2I structure. The functional is PBE.

The calculation puts the offset from the most stable computed form at 0.0 kJ/mol of formula units. The total magnetization is 0.0420 μB/atom. As for the space-group type: P4/mmm. The raw formation energy comes out at 28 meV/atom. For the density, the calculation gives 5.888 Mg/m³.

Lattice parameters (Å, degrees): 5.382 5.382 5.759 90.00 90.00 90.00
Last column: magnetic moment on the atom in μB.
Fractional positions:
I1 0.000 0.000 0.500  0.00
Sb1 0.000 0.500 0.000  -0.01
Sb2 0.500 0.000 0.000  -0.01
Ca1 0.500 0.500 0.500  0.00
Ta1 0.000 0.000 0.000  0.15


(2)
This record from Alexandria describes a geometry-optimized CaTaSbI2 structure. The functional is PBE.

The calculation puts the offset from the most stable computed form at 0.0 kJ/mol of formula units. The total magnetization is 0.2014 μB/atom. As for the space-group type: P4/mmm. The raw formation energy comes out at 68 meV/atom. For the density, the calculation gives 5.749 Mg/m³.

Lattice parameters (Å, degrees): 5.600 5.600 5.496 90.00 90.00 90.00
Last column: magnetic moment on the atom in μB.
Fractional positions:
I1 0.000 0.500 0.000  0.01
I2 0.500 0.000 0.000  0.01
Sb1 0.000 0.000 0.500  -0.02
Ca1 0.500 0.500 0.500  0.03
Ta1 0.000 0.000 0.000  0.63


(3)
This record from Alexandria describes a geometry-optimized CaTcSb2I structure. The functional is PBE.

The calculation puts the offset from the most stable computed form at 0.0 kJ/mol of formula units. The total magnetization is 0.0000 μB/atom. As for the space-group type: P4/mmm. The raw formation energy comes out at 29 meV/atom. For the density, the calculation gives 5.451 Mg/m³.

Lattice parameters (Å, degrees): 5.112 5.112 5.927 90.00 90.00 90.00
Fractional positions:
I1 0.000 0.000 0.500
Sb1 0.000 0.500 0.000
Sb2 0.500 0.000 0.000
Ca1 0.500 0.500 0.500
Tc1 0.000 0.000 0.000


(4)
This record from Alexandria describes a geometry-optimized CaTcSb2I structure. The functional is PBE.

The calculation puts the offset from the most stable computed form at 517.4 kJ/mol of formula units. The total magnetization is 0.7759 μB/atom. As for the space-group type: P4/mmm. The raw formation energy comes out at 1101 meV/atom. For the density, the calculation gives 4.323 Mg/m³.

Lattice parameters (Å, degrees): 5.827 5.827 5.753 90.00 90.00 90.00
Last column: magnetic moment on the atom in μB.
Fractional positions:
I1 0.000 0.000 0.500  -0.03
Sb1 0.000 0.500 0.000  -0.15
Sb2 0.500 0.000 0.000  -0.15
Ca1 0.000 0.000 0.000  0.01
Tc1 0.500 0.500 0.500  3.92